First-principles (PBE-GGA) data for a geometry-optimized Na2Nb2AlGaCo2 structure, as listed in OQMD via LeMat-Bulk.

Calculated values
* ρ: 6.27 Mg/m³
* electronic total energy: -0.1933 Ha/atom

a = 4.3719 Å, b = 4.3719 Å, c = 6.1834 Å
α = 90.00°, β = 90.00°, γ = 90.00°
Space group P-4m2 (No. 115)
Unique sites:
Na  0.0000  0.5000  0.2472 [2 per cell]
Nb  0.0000  0.0000  0.5000 [1 per cell]
Nb  0.5000  0.5000  0.0000 [1 per cell]
Al  0.5000  0.5000  0.5000 [1 per cell]
Ga  0.0000  0.0000  0.0000 [1 per cell]
Co  0.0000  0.5000  0.7473 [2 per cell]